*A*
4
Lattice="-1.583 2.351 4.322 1.583 -2.351 4.322 1.583 2.351 -4.322" Properties=species:S:1:pos:R:3 comment="GGA-PBEsol YCoRe2, relaxed" sg="No. 44" pbc="T T T"
Y 0.000 0.000 0.000
Co 1.583 0.000 2.332
Re 0.000 0.000 4.239
Re 0.000 2.351 1.884

***

*B*
4
Lattice="3.013 0.000 0.000 0.000 4.698 0.000 -0.692 0.000 4.570" Properties=species:S:1:pos:R:3 comment="GGA-PBEsol YCoRe2, relaxed" sg="No. 10" pbc="T T T"
Y 0.000 0.000 0.000
Co 1.161 0.000 2.285
Re 0.476 2.349 3.341
Re 1.845 2.349 1.229

***

The most stable arrangement is *B*, and the next structure is 0.025 eV/atom less stable.

***

*A*
4
Lattice="-1.887 1.887 4.205 1.887 -1.887 4.205 1.887 1.887 -4.205" Properties=species:S:1:pos:R:3 comment="GGA-PBEsol ZrCoRe2, relaxed" sg="No. 139" pbc="T T T"
Zr 0.000 0.000 0.000
Co 0.000 0.000 4.205
Re 1.887 0.000 2.103
Re 0.000 1.887 2.103

***

*B*
4
Lattice="1.893 -1.897 0.000 1.893 1.897 0.000 0.000 0.000 8.206" Properties=species:S:1:pos:R:3 comment="GGA-PBEsol ZrCoRe2, relaxed" sg="No. 65" pbc="T T T"
Zr 0.000 0.000 0.000
Co 0.000 0.000 4.103
Re 1.893 0.000 2.374
Re 1.893 0.000 5.832

***

The most stable arrangement is *B*, and the next structure is 0.065 eV/atom less stable.

***

*A*
5
Lattice="4.010 -1.797 0.000 4.010 1.797 0.000 -3.926 0.000 4.057" Properties=species:S:1:pos:R:3 comment="GGA-PBEsol Co3Rh2, relaxed" sg="No. 12" pbc="T T T"
Co 0.000 0.000 0.000
Co -0.713 0.000 2.407
Co 4.808 0.000 1.651
Rh 2.452 0.000 0.816
Rh 1.642 0.000 3.242

***

*B*
5
Lattice="-1.293 1.759 6.439 1.293 -1.759 6.439 1.293 1.759 -6.439" Properties=species:S:1:pos:R:3 comment="GGA-PBEsol Co3Rh2, relaxed" sg="No. 71" pbc="T T T"
Co 0.000 0.000 0.000
Co 0.000 0.000 2.617
Co 0.000 0.000 10.261
Rh 0.000 0.000 5.121
Rh 0.000 0.000 7.756

***

*C*
5
Lattice="1.954 -5.947 0.000 1.954 5.947 0.000 0.000 0.000 2.556" Properties=species:S:1:pos:R:3 comment="GGA-PBEsol Co3Rh2, relaxed" sg="No. 65" pbc="T T T"
Co 0.000 0.000 0.000
Co 1.954 3.562 0.000
Co 1.954 -3.562 0.000
Rh 1.954 1.305 1.278
Rh 1.954 -1.305 1.278

***

The most stable arrangement is *A*, and the next structure is 0.007 eV/atom less stable.